Arrangement 1

CdPbSeO, optimized geometry, DFT PBE; calculated density = 8210 kg/m3; space group = P4/nmm (129)
1.0
-1.040 2.350 2.644
-3.202 0.546 -1.745
-5.032 -9.329 6.313
Pb Cd O Se
2 2 2 2
Cartesian
-6.867 -4.661 5.299
-2.406 -1.771 1.914
-5.598 -7.687 5.917
-3.676 1.255 1.295
-7.816 -6.420 6.489
-1.458 -0.013 0.723
-4.096 -2.765 4.703
-5.177 -3.667 2.509

---

Arrangement 2

CdPbSeO, optimized geometry, DFT PBE; calculated density = 8571 kg/m3; space group = Cmcm (63)
1.0
0.385 2.895 1.474
4.554 1.282 -3.709
-5.053 4.828 -4.535
Se O Pb Cd
2 2 2 2
Cartesian
-1.902 3.852 -3.440
1.789 5.153 -3.330
2.277 0.641 -1.854
0.000 0.000 0.000
0.087 4.141 -0.897
-0.201 4.865 -5.873
3.079 2.750 -2.576
-3.193 6.256 -4.194

---

Ranking the structures above by energy, arrangement 2 is first and the second is 213 meV/atom behind.